SrTl2I4: optimized geometry, GGA-PBE.

The structure in POSCAR format:
```
SrTl2I4
1.0
-9.1945 -4.0549 -2.2131
3.8895 -9.4549 1.1642
-3.3983 0.2778 13.6092
I Tl Sr
16 8 4
direct
0.0215 0.2330 0.7641 I
0.2330 0.9785 0.5141 I
0.5361 0.2341 0.2525 I
0.7659 0.5361 0.5025 I
0.4639 0.2341 0.7475 I
0.4639 0.7659 0.7525 I
0.7659 0.4639 0.9975 I
0.2341 0.4639 0.0025 I
0.0215 0.7670 0.7359 I
0.5361 0.7659 0.2475 I
0.2341 0.5361 0.4975 I
0.9785 0.2330 0.2359 I
0.7670 0.0215 0.0141 I
0.7670 0.9785 0.4859 I
0.2330 0.0215 0.9859 I
0.9785 0.7670 0.2641 I
0.7476 0.2524 0.6250 Tl
0.2524 0.7476 0.1250 Tl
0.5000 0.2500 0.0000 Tl
0.2524 0.2524 0.3750 Tl
0.5000 0.7500 0.5000 Tl
0.2500 0.5000 0.7500 Tl
0.7500 0.5000 0.2500 Tl
0.7476 0.7476 0.8750 Tl
0.2473 0.0000 0.7500 Sr
0.0000 0.2473 0.0000 Sr
0.0000 0.7527 0.5000 Sr
0.7527 0.0000 0.2500 Sr
```

## Properties
Energy above the most stable polymorph in this dataset   0 meV per atom
Energy relative to the elements, uncorrected   -7.6 eV/f.u.
Size of the total moment   0.000 μB per atom
Symmetry   No. 91
DOS(E_F)   0.0 states/eV/f.u.